No. 1
# CeHoPa2

An optimized crystal structure of CeHoPa2 (PBE-GGA, Alexandria via LeMat-Bulk).

**Fermi-level density of states**: 27.9 states/eV per cell
**Energy above the most stable polymorph in this dataset**: 0.94 eV per formula unit
**Formation energy from the elements**: 1.534 eV per formula unit
**Calculated density**: 11.45 g/cm3
**Final energy**: -6.992 eV/atom

Cell lengths 5.1504, 5.1504, 14.5339 Å; angles 90.00, 90.00, 120.00 degrees
Space group R-3m (No. 166, hexagonal axes)
Inequivalent atoms, fractional coordinates:
Ce 0.0000 0.0000 0.0000
Ho 0.0000 0.0000 0.5000
Pa 0.0000 0.0000 0.2885

No. 2
# NpCdSe2

An optimized crystal structure of NpCdSe2 (PBE-GGA, Alexandria via LeMat-Bulk).

**Formation energy from raw total energies**: -659.1 meV per atom
**Fermi-level density of states**: 34.4 states/eV per cell
**Energy above the most stable polymorph in this dataset**: 0.07 eV per formula unit
**Calculated density**: 6.42 g/cm3
**Final energy**: -5.865 eV/atom

Cell lengths 4.0616, 4.0616, 27.5607 Å; angles 90.00, 90.00, 120.00 degrees
Space group R-3m (No. 166, hexagonal axes)
Inequivalent atoms, fractional coordinates:
Np 0.0000 0.0000 0.0000
Cd 0.0000 0.0000 0.5000
Se 0.0000 0.0000 0.3913

No. 3
# KBaW2

An optimized crystal structure of KBaW2 (PBE-GGA, Alexandria via LeMat-Bulk).

**Fermi-level density of states**: 9.9 states/eV per cell
**Energy above the most stable polymorph in this dataset**: 3.45 eV per formula unit
**Formation energy from the elements**: 7.035 eV per formula unit
**Calculated density**: 9.27 g/cm3
**Final energy**: -5.473 eV/atom

Cell lengths 3.612, 4.474, 12.066 Å; angles 90.00, 90.00, 90.00 degrees
Space group Cmmm (No. 65)
Inequivalent atoms, fractional coordinates:
K 0.000 0.000 0.000
Ba 0.000 0.000 0.500
W 0.000 0.500 0.256

No. 4
# Tl2HgO

An optimized crystal structure of Tl2HgO (PBE-GGA, Alexandria via LeMat-Bulk).

**Formation energy from raw total energies**: -282.4 meV per atom
**Fermi-level density of states**: 0.4 states/eV per cell
**Energy above the most stable polymorph in this dataset**: 0.61 eV per formula unit
**Calculated density**: 10.41 g/cm3
**Final energy**: -2.781 eV/atom

Cell lengths 3.281, 3.281, 9.269 Å; angles 90.00, 90.00, 90.00 degrees
Space group P4/mmm (No. 123)
Inequivalent atoms, fractional coordinates:
Tl 0.000 0.000 0.165
Hg 0.500 0.500 0.500
O 0.500 0.500 0.000

No. 5
# K3RbAu

An optimized crystal structure of K3RbAu (PBE-GGA, Alexandria via LeMat-Bulk).

**Fermi-level density of states**: 7.6 states/eV per cell
**Energy above the most stable polymorph in this dataset**: 0.05 eV per formula unit
**Formation energy from the elements**: -0.618 eV per formula unit
**Calculated density**: 2.41 g/cm3
**Final energy**: -1.631 eV/atom

Cell lengths 7.090, 11.185, 7.181 Å; angles 90.00, 104.69, 90.00 degrees
Space group P2_1/m (No. 11)
Inequivalent atoms, fractional coordinates:
K 0.129 0.250 0.218
K 0.274 0.036 0.793
Rb 0.292 0.750 0.371
Au 0.419 0.750 0.909

No. 6
# InFe4Se

An optimized crystal structure of InFe4Se (PBE-GGA, Alexandria via LeMat-Bulk).

**Formation energy from raw total energies**: 308.1 meV per atom
**Fermi-level density of states**: 20.8 states/eV per cell
**Calculated density**: 7.63 g/cm3
**Final energy**: -6.371 eV/atom

Cell lengths 7.135, 7.135, 7.135 Å; angles 90.00, 90.00, 90.00 degrees
Space group F-43m (No. 216)
Inequivalent atoms, fractional coordinates:
In 0.000 0.000 0.000
Fe 0.126 0.126 0.626
Se 0.250 0.250 0.250

No. 7
# Y2Zr2Fe

An optimized crystal structure of Y2Zr2Fe (PBE-GGA, Alexandria via LeMat-Bulk).

**Fermi-level density of states**: 7.0 states/eV per cell
**Formation energy from the elements**: 0.542 eV per formula unit
**Calculated density**: 5.80 g/cm3
**Final energy**: -7.589 eV/atom

Cell lengths 6.635, 6.635, 5.415 Å; angles 90.00, 90.00, 90.00 degrees
Space group P4/mbm (No. 127)
Inequivalent atoms, fractional coordinates:
Y 0.170 0.330 0.000
Zr 0.157 0.657 0.500
Fe 0.000 0.000 0.500

No. 8
# Y3TlOs

An optimized crystal structure of Y3TlOs (PBE-GGA, Alexandria via LeMat-Bulk).

**Fermi-level density of states**: 3.9 states/eV per cell
**Energy above the most stable polymorph in this dataset**: 1.15 eV per formula unit
**Formation energy from the elements**: -0.309 eV per formula unit
**Calculated density**: 7.07 g/cm3
**Final energy**: -6.659 eV/atom

Cell lengths 5.376, 5.376, 5.376 Å; angles 90.00, 90.00, 90.00 degrees
Space group Pm-3m (No. 221)
Inequivalent atoms, fractional coordinates:
Y 0.000 0.000 0.500
Tl 0.500 0.500 0.500
Os 0.000 0.000 0.000